## NaCaMn2P3H2O12 (GGA+U)

Data for NaCaMn2P3H2O12 after structural relaxation.

a = 8.913 Å, b = 8.913 Å, c = 6.815 Å
α = 72.35°, β = 72.35°, γ = 89.60°
Sites, in units of the cell vectors:
H  0.372  0.375  0.302
H  0.375  0.372  0.802
H  0.625  0.628  0.198
H  0.628  0.625  0.698
O  0.151  0.147  0.907
O  0.008  0.671  0.901
O  0.954  0.612  0.305
O  0.270  0.426  0.841
O  0.574  0.730  0.659
O  0.517  0.285  0.745
O  0.717  0.195  0.956
O  0.388  0.046  0.195
O  0.715  0.483  0.755
O  0.285  0.517  0.245
O  0.046  0.388  0.695
O  0.329  0.992  0.599
O  0.730  0.574  0.159
O  0.195  0.717  0.456
O  0.853  0.849  0.593
O  0.849  0.853  0.093
O  0.426  0.270  0.341
O  0.805  0.283  0.544
O  0.483  0.715  0.255
O  0.671  0.008  0.401
O  0.147  0.151  0.407
O  0.992  0.329  0.099
O  0.612  0.954  0.805
O  0.283  0.805  0.044
P  0.318  0.110  0.386
P  0.110  0.318  0.886
P  0.890  0.682  0.114
P  0.682  0.890  0.614
P  0.312  0.688  0.250
P  0.688  0.312  0.750
Ca  0.714  0.286  0.250
Ca  0.286  0.714  0.750
Mn  0.054  0.381  0.362
Mn  0.946  0.619  0.638
Mn  0.381  0.054  0.862
Mn  0.619  0.946  0.138
Na  0.050  0.950  0.250
Na  0.950  0.050  0.750

Values from the calculation:
Raw total energy (eV/atom): -6.97
Fermi-level density of states (states/eV per atom): 0.00